(1)
The following is a PBEsol calculation of Ba2SrGa2 after structural relaxation, from the Alexandria database.

abc: 4.250 9.213 9.213
angles: 90.00 90.00 90.00
Atoms (fractional coordinates):
Ga1 0.000 0.128 0.372
Ga2 0.000 0.372 0.872
Ga3 0.000 0.872 0.628
Ga4 0.000 0.628 0.128
Sr1 0.000 0.000 0.000
Sr2 0.000 0.500 0.500
Ba1 0.500 0.339 0.161
Ba2 0.500 0.161 0.661
Ba3 0.500 0.661 0.839
Ba4 0.500 0.839 0.339

SG: P4/mbm, No. 127
Energy above the lowest structure with this stoichiometry (meV per atom): 0.0
M_tot (μB per formula unit): 0.000
Energy of formation (meV per atom): -231.6
Theoretical density (g/cm³): 4.6


(2)
The following is a PBEsol calculation of LiZnPt2 after structural relaxation, from the Alexandria database.

abc: 2.794 4.447 4.447
angles: 102.51 90.00 90.00
Atoms (fractional coordinates):
Pt1 0.000 0.500 0.000
Pt2 0.000 0.000 0.500
Zn1 0.500 0.000 0.000
Li1 0.500 0.500 0.500

SG: Cmmm, No. 65
M_tot (μB per formula unit): 0.000
Energy of formation (meV per atom): -545.9
Theoretical density (g/cm³): 14.2


(3)
The following is a PBEsol calculation of KB6PH4O14 after structural relaxation, from the Alexandria database.

abc: 7.661 12.041 12.041
angles: 90.00 90.00 90.00
Atoms (fractional coordinates):
O1 0.250 0.287 0.713
O2 0.636 0.084 0.654
O3 0.864 0.584 0.846
O4 0.814 0.399 0.731
O5 0.186 0.269 0.399
O6 0.250 0.213 0.213
O7 0.314 0.769 0.101
O8 0.814 0.601 0.269
O9 0.111 0.465 0.399
O10 0.864 0.416 0.154
O11 0.889 0.601 0.465
O12 0.389 0.035 0.899
O13 0.250 0.713 0.287
O14 0.611 0.535 0.399
O15 0.750 0.713 0.713
O16 0.864 0.346 0.916
O17 0.611 0.899 0.965
O18 0.136 0.846 0.416
O19 0.314 0.399 0.269
O20 0.814 0.769 0.899
O21 0.636 0.154 0.416
O22 0.186 0.731 0.601
O23 0.686 0.731 0.399
O24 0.686 0.101 0.231
O25 0.750 0.213 0.787
O26 0.750 0.787 0.213
O27 0.314 0.601 0.731
O28 0.389 0.601 0.535
O29 0.111 0.101 0.965
O30 0.250 0.787 0.787
O31 0.364 0.584 0.154
O32 0.186 0.101 0.769
O33 0.111 0.899 0.035
O34 0.314 0.231 0.899
O35 0.889 0.035 0.101
O36 0.364 0.346 0.084
O37 0.111 0.535 0.601
O38 0.136 0.916 0.654
O39 0.611 0.101 0.035
O40 0.389 0.965 0.101
O41 0.611 0.465 0.601
O42 0.686 0.269 0.601
O43 0.136 0.154 0.584
O44 0.864 0.654 0.084
O45 0.750 0.287 0.287
O46 0.686 0.899 0.769
O47 0.636 0.846 0.584
O48 0.889 0.399 0.535
O49 0.889 0.965 0.899
O50 0.186 0.899 0.231
O51 0.389 0.399 0.465
O52 0.364 0.654 0.916
O53 0.636 0.916 0.346
O54 0.136 0.084 0.346
O55 0.814 0.231 0.101
O56 0.364 0.416 0.846
B1 0.810 0.311 0.182
B2 0.810 0.318 0.811
B3 0.310 0.689 0.182
B4 0.190 0.182 0.689
B5 0.250 0.882 0.118
B6 0.690 0.189 0.682
B7 0.310 0.318 0.189
B8 0.750 0.118 0.118
B9 0.250 0.618 0.618
B10 0.750 0.882 0.882
B11 0.310 0.682 0.811
B12 0.750 0.382 0.618
B13 0.810 0.682 0.189
B14 0.690 0.818 0.689
B15 0.810 0.689 0.818
B16 0.690 0.182 0.311
B17 0.250 0.382 0.382
B18 0.750 0.618 0.382
B19 0.310 0.311 0.818
B20 0.190 0.189 0.318
B21 0.250 0.118 0.882
B22 0.690 0.811 0.318
B23 0.190 0.818 0.311
B24 0.190 0.811 0.682
H1 0.651 0.212 0.475
H2 0.849 0.288 0.975
H3 0.151 0.025 0.288
H4 0.349 0.475 0.788
H5 0.151 0.212 0.525
H6 0.151 0.975 0.712
H7 0.849 0.525 0.788
H8 0.151 0.788 0.475
H9 0.651 0.788 0.525
H10 0.651 0.975 0.288
H11 0.849 0.712 0.025
H12 0.349 0.288 0.025
H13 0.349 0.712 0.975
H14 0.651 0.025 0.712
H15 0.349 0.525 0.212
H16 0.849 0.475 0.212
K1 0.399 0.000 0.500
K2 0.101 0.500 0.000
K3 0.899 0.000 0.500
K4 0.601 0.500 0.000
P1 0.000 0.000 0.000
P2 0.000 0.500 0.500
P3 0.500 0.000 0.000
P4 0.500 0.500 0.500

SG: P4/ncc, No. 130
M_tot (μB per formula unit): 0.000
Raw total energy (Ry/atom): -0.5394
Theoretical density (g/cm³): 2.2


(4)
The following is a PBEsol calculation of TeSeN2Cl after structural relaxation, from the Alexandria database.

abc: 3.988 3.988 4.893
angles: 90.00 90.00 90.00
Atoms (fractional coordinates):
Se1 0.000 0.000 0.500
Cl1 0.000 0.000 0.000
Te1 0.500 0.500 0.500
N1 0.500 0.000 0.000
N2 0.000 0.500 0.000

SG: P4/mmm, No. 123
M_tot (μB per formula unit): 0.006
Formation energy without anion corrections (eV per atom): 1.975
Theoretical density (g/cm³): 5.8


Copy entry 1 word for word.
The following is a PBEsol calculation of Ba2SrGa2 after structural relaxation, from the Alexandria database.

abc: 4.250 9.213 9.213
angles: 90.00 90.00 90.00
Atoms (fractional coordinates):
Ga1 0.000 0.128 0.372
Ga2 0.000 0.372 0.872
Ga3 0.000 0.872 0.628
Ga4 0.000 0.628 0.128
Sr1 0.000 0.000 0.000
Sr2 0.000 0.500 0.500
Ba1 0.500 0.339 0.161
Ba2 0.500 0.161 0.661
Ba3 0.500 0.661 0.839
Ba4 0.500 0.839 0.339

SG: P4/mbm, No. 127
Energy above the lowest structure with this stoichiometry (meV per atom): 0.0
M_tot (μB per formula unit): 0.000
Energy of formation (meV per atom): -231.6
Theoretical density (g/cm³): 4.6


- Which of these has the highest M_tot?
  TeSeN2Cl


- Look up the theoretical density of the first one.
  4.6 g/cm³